VASP calculation (PBE-GGA) on crystalline Sn2TeAs2 at its relaxed geometry.

a b c (Å): 4.0505 4.0505 16.0781
angles (deg): 90.00 90.00 90.00
With the nearest neighbours (Å) after each atom.
Space group I4/mmm (No. 139)
Unique sites:
1 Sn 0.0000 0.0000 0.1091 [4 per cell]  4 As 3.04, 4 Te 3.36
2 Te 0.0000 0.0000 0.5000 [2 per cell]  8 Sn 3.36
3 As 0.0000 0.5000 0.2500 [4 per cell]  4 As 2.86, 4 Sn 3.04

Results
* D(E_F): 3.25 states/eV per cell
* E_form (uncorrected): 23.6 meV per atom
* excess energy over the best structure of this formula in the dataset: 10 meV/atom



VASP calculation (PBE-GGA) on crystalline SrTa2Se at its relaxed geometry.

a b c (Å): 4.9154 4.9154 7.1296
angles (deg): 90.00 90.00 90.00
With the nearest neighbours (Å) after each atom.
Space group I-4m2 (No. 119)
Unique sites:
1 Sr 0.0000 0.0000 0.0000 [2 per cell]  4 Ta 3.04, 4 Se 3.04
2 Ta 0.0000 0.0000 0.5000 [2 per cell]  4 Ta 3.04, 4 Se 3.04
3 Ta 0.0000 0.5000 0.7500 [2 per cell]  4 Ta 3.04, 4 Sr 3.04
4 Se 0.0000 0.5000 0.2500 [2 per cell]  4 Sr 3.04, 4 Ta 3.04

Results
* D(E_F): 8.98 states/eV per cell
* E_form (uncorrected): 642.2 meV per atom



VASP calculation (PBE-GGA) on crystalline ZrC at its relaxed geometry.

a b c (Å): 4.8326 4.8326 5.9100
angles (deg): 90.00 90.00 120.00
With the nearest neighbours (Å) after each atom.
Space group P6_3/mmc (No. 194)
Unique sites:
1 Zr 0.0000 0.0000 0.2500 [2 per cell]  5 Zr 2.79-2.96, 6 C 2.87
2 Zr 0.3333 0.6667 0.2500 [2 per cell]  2 C 2.29
3 C 0.3333 0.6667 0.6373 [4 per cell]  1 C 1.33

Results
* D(E_F): 7.93 states/eV per cell
* excess energy over the best structure of this formula in the dataset: 1682 meV/atom



VASP calculation (PBE-GGA) on crystalline ErBrO at its relaxed geometry.

a b c (Å): 3.6006 3.6006 17.2165
angles (deg): 90.00 90.00 120.00
With the nearest neighbours (Å) after each atom.
Space group R3m (No. 160, hexagonal axes)
Unique sites:
1 Er 0.0000 0.0000 0.0000 [3 per cell]  3 O 2.18
2 Br 0.0000 0.0000 0.7942 [3 per cell]  1 O 2.86, 3 Er 3.02
3 O 0.0000 0.0000 0.6279 [3 per cell]  3 Er 2.18

Results
* D(E_F): 0.00 states/eV per cell
* E_form (uncorrected): -2524.8 meV per atom



VASP calculation (PBE-GGA) on crystalline ScHg at its relaxed geometry.

a b c (Å): 7.6895 7.6895 6.0966
angles (deg): 90.00 90.00 90.00
With the nearest neighbours (Å) after each atom.
Space group I-42d (No. 122)
Unique sites:
1 Sc 0.0602 0.2500 0.1250 [8 per cell]  7 Hg 2.94-3.20, 4 Sc 3.18
2 Hg 0.0570 0.2500 0.6250 [8 per cell]  7 Sc 2.94-3.20, 4 Hg 3.18

Results
* D(E_F): 19.38 states/eV per cell
* E: -3.60 eV per atom



VASP calculation (PBE-GGA) on crystalline K2GeSbTe4 at its relaxed geometry.

a b c (Å): 11.1177 9.1283 7.0552
angles (deg): 90.00 90.00 90.00
With the nearest neighbours (Å) after each atom.
Space group Pmn2_1 (No. 31)
Unique sites:
1 K 0.2453 0.1663 0.0000 [4 per cell]  5 Te 3.45-3.61
2 Ge 0.0000 0.3363 0.5399 [2 per cell]  4 Te 2.72-2.81
3 Sb 0.0000 0.6852 0.0424 [2 per cell]  4 Te 2.81-3.07
4 Te 0.0000 0.3918 0.9208 [2 per cell]  1 Ge 2.73, 1 Sb 2.81
5 Te 0.0000 0.6233 0.4376 [2 per cell]  1 Ge 2.72, 1 Sb 2.85
6 Te 0.2346 0.2284 0.4944 [4 per cell]  1 Ge 2.81, 1 Sb 3.07

Results
* D(E_F): 8.16 states/eV per cell
* E_form (uncorrected): -407.1 meV per atom



VASP calculation (PBE-GGA) on crystalline AcLa12Dy7 at its relaxed geometry.

a b c (Å): 19.7386 19.7386 6.4298
angles (deg): 90.00 90.00 120.00
With the nearest neighbours (Å) after each atom.
Space group R-3 (No. 148, hexagonal axes)
Unique sites:
1 Ac 0.0000 0.0000 0.0000 [3 per cell]  8 Dy 3.21
2 La 0.9998 0.4072 0.4995 [18 per cell]  3 La 3.31-3.66, 2 Dy 3.37
3 La 0.0954 0.5475 0.9631 [18 per cell]  1 La 3.30, 4 Dy 3.34-3.66
4 Dy 0.0000 0.0000 0.5000 [3 per cell]  2 Ac 3.21, 6 Dy 3.41
5 Dy 0.0842 0.1690 0.7825 [18 per cell]  1 Ac 3.21, 4 La 3.34-3.51, 1 Dy 3.41

Results
* D(E_F): 81.45 states/eV per cell
* E: -4.52 eV per atom



VASP calculation (PBE-GGA) on crystalline Hg2TeRh at its relaxed geometry.

a b c (Å): 3.8659 3.8659 5.7822
angles (deg): 90.00 90.00 90.00
With the nearest neighbours (Å) after each atom.
Space group P4/mmm (No. 123)
Unique sites:
1 Hg 0.0000 0.0000 0.2353 [2 per cell]  1 Hg 2.72
2 Te 0.5000 0.5000 0.5000 [1 per cell]  2 Rh 2.89, 8 Hg 3.13
3 Rh 0.5000 0.5000 0.0000 [1 per cell]  2 Te 2.89, 8 Hg 3.05

Results
* D(E_F): 3.82 states/eV per cell
* E_form (uncorrected): 294.4 meV per atom
* excess energy over the best structure of this formula in the dataset: 381 meV/atom



VASP calculation (PBE-GGA) on crystalline RbNp2AlO8 at its relaxed geometry.

a b c (Å): 4.5311 4.5869 9.3032
angles (deg): 85.01 88.23 89.77
With the nearest neighbours (Å) after each atom.
Space group P-1 (No. 2)
Unique sites:
1 Rb 0.0000 0.0000 0.0000 [1 per cell]  2 O 2.77
2 Np 0.4554 0.5001 0.6842 [2 per cell]  4 O 1.88-2.05
3 Al 0.0000 0.0000 0.5000 [1 per cell]  6 O 1.91-1.98
4 O 0.1771 0.1772 0.6606 [2 per cell]  1 Al 1.96, 1 Np 1.98
5 O 0.2028 0.2295 0.3368 [2 per cell]  1 Al 1.98, 1 Np 1.98
6 O 0.3028 0.7105 0.4979 [2 per cell]  1 Al 1.91, 1 Np 2.05
7 O 0.4432 0.6697 0.1329 [2 per cell]  1 Np 1.88

Results
* D(E_F): 2.26 states/eV per cell
* E_form (uncorrected): -2521.2 meV per atom



VASP calculation (PBE-GGA) on crystalline Sm2MgRh at its relaxed geometry.

a b c (Å): 7.2943 7.2943 7.2943
angles (deg): 90.00 90.00 90.00
With the nearest neighbours (Å) after each atom.
Space group Fm-3m (No. 225)
Unique sites:
1 Sm 0.2500 0.2500 0.2500 [8 per cell]  4 Mg 3.16, 4 Rh 3.16
2 Mg 0.0000 0.0000 0.0000 [4 per cell]  8 Sm 3.16
3 Rh 0.0000 0.0000 0.5000 [4 per cell]  8 Sm 3.16

Results
* D(E_F): 8.83 states/eV per cell
* excess energy over the best structure of this formula in the dataset: 76 meV/atom



VASP calculation (PBE-GGA) on crystalline YFeTc3 at its relaxed geometry.

a b c (Å): 4.4985 4.4985 4.4985
angles (deg): 90.00 90.00 90.00
With the nearest neighbours (Å) after each atom.
Space group Pm-3m (No. 221)
Unique sites:
1 Y 0.0000 0.0000 0.0000 [1 per cell]  12 Tc 3.18
2 Fe 0.5000 0.5000 0.5000 [1 per cell]  6 Tc 2.25
3 Tc 0.0000 0.5000 0.5000 [3 per cell]  2 Fe 2.25

Results
* D(E_F): 6.11 states/eV per cell
* excess energy over the best structure of this formula in the dataset: 0 meV/atom



VASP calculation (PBE-GGA) on crystalline Be2Ni at its relaxed geometry.

a b c (Å): 8.2547 2.4290 5.5331
angles (deg): 90.00 108.53 90.00
With the nearest neighbours (Å) after each atom.
Space group C2/m (No. 12)
Unique sites:
1 Be 0.0355 0.0000 0.2884 [4 per cell]  5 Ni 2.25-2.30, 6 Be 2.25-2.43
2 Be 0.1453 0.5000 0.0347 [4 per cell]  9 Be 2.24-2.43, 3 Ni 2.27-2.28
3 Ni 0.1747 0.5000 0.6403 [4 per cell]  8 Be 2.25-2.30, 2 Ni 2.43

Results
* D(E_F): 5.11 states/eV per cell
* E: -4.67 eV per atom